This record from the Alexandria database describes crystalline ZnAg4Sn at its relaxed geometry. The functional is PBE-GGA.

Structure (CIF):
```
data_ZnAg4Sn
_space_group_name_H-M_alt 'P 4/m m m'
_space_group_IT_number 123
_space_group_name_Hall '-P 4 2'
_cell_length_a 3.520
_cell_length_b 3.520
_cell_length_c 9.044
_cell_angle_alpha 90.00
_cell_angle_beta 90.00
_cell_angle_gamma 90.00
loop_
_atom_site_label
_atom_site_type_symbol
_atom_site_fract_x
_atom_site_fract_y
_atom_site_fract_z
_atom_site_occupancy
Zn1 Zn 0.000 0.000 0.000 1
Ag1 Ag 0.000 0.000 0.316 1
Ag2 Ag 0.500 0.500 0.155 1
Sn1 Sn 0.500 0.500 0.500 1
```

Values from the calculation:
VASP energy (eV/atom): -2.77
E_form (eV per atom): 0.01
Spin magnetization (μB per cell): 0.000
Distance to the lowest polymorph of the same formula (kcal/mol of atoms): 0.00